Record 1
Material: CdBr2F
Method: DFT, meta-GGA SCAN
State: PBEsol geometry

Structure (extended XYZ):
```
8
Lattice="-4.039 4.039 2.619 4.039 -4.039 2.619 4.039 4.039 -2.619" Properties=species:S:1:pos:R:3 pbc="T T T"
Cd 0.000 0.000 0.000
Cd 0.000 4.039 1.310
Br 2.020 1.761 -0.655
Br 2.278 -2.020 3.274
Br 2.020 2.278 1.965
Br 1.761 6.059 0.655
F 4.039 0.000 1.310
F 0.000 0.000 2.619
```

Raw total energy ... -18.98 eV/atom
Crystal system ... tetragonal
Formation energy without anion corrections ... -758 meV per atom

***

Record 2
Material: CuPbBr
Method: DFT, meta-GGA SCAN
State: PBEsol geometry

Structure (extended XYZ):
```
3
Lattice="0.000 3.347 3.347 3.347 0.000 3.347 3.347 3.347 0.000" Properties=species:S:1:pos:R:3 pbc="T T T"
Cu 0.000 0.000 0.000
Pb 5.020 5.020 5.020
Br 1.673 1.673 1.673
```

Raw total energy ... -36.54 eV/atom
Crystal system ... cubic
Formation energy without anion corrections ... 278 meV per atom
Energy above the lowest structure with this stoichiometry ... 0.2600 eV per atom